[1]
Density functional theory data (PBE) for a relaxed PrNbN2O crystal.

```
10
Lattice="3.800 0.000 0.000 0.000 6.217 0.000 0.000 0.000 5.867" Properties=species:S:1:pos:R:3 pbc="T T T"
Pr 0.000 1.029 0.000
Pr 0.000 5.187 2.934
Nb 1.900 1.974 3.119
Nb 1.900 4.243 0.186
N 0.000 1.378 3.440
N 0.000 4.838 0.506
N 1.900 2.572 5.149
N 1.900 3.644 2.215
O 1.900 0.521 1.638
O 1.900 5.695 4.572
```

## Properties
As for the energy: -9.03 eV per atom.

---

[2]
Density functional theory data (PBE) for a relaxed CsTmAsSe3 crystal.

```
12
Lattice="2.171 -7.958 0.000 2.171 7.958 0.000 0.000 0.000 11.548" Properties=species:S:1:pos:R:3 pbc="T T T"
Cs 2.171 4.301 8.661
Cs 2.171 -4.301 2.887
Tm 2.171 0.000 0.000
Tm 2.171 0.000 5.774
As 2.171 6.665 2.887
As 2.171 -6.665 8.661
Se 2.171 6.114 0.207
Se 2.171 6.114 5.567
Se 2.171 0.008 2.887
Se 2.171 -0.008 8.661
Se 2.171 -6.114 5.981
Se 2.171 -6.114 11.341
```

## Properties
As for the energy: -4.44 eV per atom.